## one
Below is CsBa2Se2 after structural relaxation, with properties calculated at the PBE-GGA level.

a = 6.124 Å, b = 6.124 Å, c = 8.090 Å
α = 67.76°, β = 67.76°, γ = 90.00°
Sites, in units of the cell vectors:
Se  0.250  0.750  0.500
Ba  0.319  0.319  0.361
Ba  0.681  0.681  0.639
Cs  0.000  0.000  0.000
Se  0.750  0.250  0.500

space group	No. 139

***

## two
Below is CsBa2Se2 after structural relaxation, with properties calculated at the PBE-GGA level.

a = 9.412 Å, b = 9.412 Å, c = 4.069 Å
α = 90.00°, β = 90.00°, γ = 90.00°
Sites, in units of the cell vectors:
Se  0.839  0.339  0.500
Se  0.339  0.161  0.500
Ba  0.363  0.863  0.000
Ba  0.637  0.137  0.000
Ba  0.137  0.363  0.000
Se  0.161  0.661  0.500
Cs  0.500  0.500  0.000
Cs  0.000  0.000  0.000
Se  0.661  0.839  0.500
Ba  0.863  0.637  0.000

space group	No. 127

***

Relative energies in kJ/mol of atoms: one 0.0; two 14.0

***

## one
Below is CsBaSi3 after structural relaxation, with properties calculated at the PBE-GGA level.

a = 5.666 Å, b = 5.666 Å, c = 5.666 Å
α = 90.00°, β = 90.00°, γ = 90.00°
Sites, in units of the cell vectors:
Cs  0.000  0.000  0.000
Si  0.000  0.000  0.500
Si  0.500  0.000  0.000
Ba  0.500  0.500  0.500
Si  0.000  0.500  0.000

space group	No. 221

***

## two
Below is CsBaSi3 after structural relaxation, with properties calculated at the PBE-GGA level.

a = 5.986 Å, b = 5.986 Å, c = 5.986 Å
α = 90.00°, β = 90.00°, γ = 90.00°
Sites, in units of the cell vectors:
Cs  0.500  0.500  0.500
Si  0.000  0.500  0.000
Si  0.000  0.000  0.500
Si  0.500  0.000  0.000
Ba  0.000  0.000  0.000

space group	No. 221

***

Relative energies in kJ/mol of atoms: one 20.8; two 0.0

***

## one
Below is Cs2BaSi2 after structural relaxation, with properties calculated at the PBE-GGA level.

a = 8.393 Å, b = 8.393 Å, c = 6.310 Å
α = 90.00°, β = 90.00°, γ = 90.00°
Sites, in units of the cell vectors:
Cs  0.676  0.176  0.500
Ba  0.500  0.500  0.000
Si  0.094  0.594  0.000
Ba  0.000  0.000  0.000
Cs  0.176  0.324  0.500
Si  0.406  0.094  0.000
Si  0.594  0.906  0.000
Si  0.906  0.406  0.000
Cs  0.824  0.676  0.500
Cs  0.324  0.824  0.500

space group	No. 127

***

## two
Below is Cs2BaSi2 after structural relaxation, with properties calculated at the PBE-GGA level.

a = 5.100 Å, b = 5.100 Å, c = 8.648 Å
α = 72.85°, β = 72.85°, γ = 90.00°
Sites, in units of the cell vectors:
Si  0.572  0.572  0.857
Si  0.428  0.428  0.143
Ba  0.000  0.000  0.000
Cs  0.250  0.750  0.500
Cs  0.750  0.250  0.500

space group	No. 139

***

## three
Below is Cs2BaSi2 after structural relaxation, with properties calculated at the PBE-GGA level.

a = 6.245 Å, b = 6.245 Å, c = 7.432 Å
α = 65.16°, β = 65.16°, γ = 90.00°
Sites, in units of the cell vectors:
Ba  0.000  0.000  0.000
Si  0.250  0.750  0.500
Si  0.750  0.250  0.500
Cs  0.642  0.642  0.717
Cs  0.358  0.358  0.283

space group	No. 139

***

Relative energies in kJ/mol of atoms: one 0.0; two 0.5; three 61.2

***

## one
Below is CsBa2Si2 after structural relaxation, with properties calculated at the PBE-GGA level.

a = 5.781 Å, b = 5.781 Å, c = 7.228 Å
α = 66.43°, β = 66.43°, γ = 90.00°
Sites, in units of the cell vectors:
Ba  0.750  0.250  0.500
Cs  0.000  0.000  0.000
Ba  0.250  0.750  0.500
Si  0.598  0.598  0.803
Si  0.402  0.402  0.197

space group	No. 139

***

## two
Below is CsBa2Si2 after structural relaxation, with properties calculated at the PBE-GGA level.

a = 8.905 Å, b = 8.905 Å, c = 4.923 Å
α = 90.00°, β = 90.00°, γ = 90.00°
Sites, in units of the cell vectors:
Cs  0.500  0.500  0.000
Si  0.407  0.907  0.000
Cs  0.000  0.000  0.000
Ba  0.830  0.330  0.500
Si  0.593  0.093  0.000
Si  0.093  0.407  0.000
Ba  0.670  0.830  0.500
Si  0.907  0.593  0.000
Ba  0.170  0.670  0.500
Ba  0.330  0.170  0.500

space group	No. 127

***

Relative energies in kJ/mol of atoms: one 7.8; two 0.0

***

## one
Below is Cs2BaSr2 after structural relaxation, with properties calculated at the PBE-GGA level.

a = 5.442 Å, b = 5.442 Å, c = 14.786 Å
α = 79.40°, β = 79.40°, γ = 90.00°
Sites, in units of the cell vectors:
Ba  0.000  0.000  0.000
Sr  0.250  0.750  0.500
Cs  0.612  0.612  0.776
Cs  0.388  0.388  0.224
Sr  0.750  0.250  0.500

space group	No. 139

***

## two
Below is Cs2BaSr2 after structural relaxation, with properties calculated at the PBE-GGA level.

a = 12.542 Å, b = 12.542 Å, c = 4.688 Å
α = 90.00°, β = 90.00°, γ = 90.00°
Sites, in units of the cell vectors:
Sr  0.678  0.822  0.500
Sr  0.822  0.322  0.500
Cs  0.624  0.124  0.000
Cs  0.376  0.876  0.000
Cs  0.124  0.376  0.000
Ba  0.000  0.000  0.000
Sr  0.322  0.178  0.500
Sr  0.178  0.678  0.500
Cs  0.876  0.624  0.000
Ba  0.500  0.500  0.000

space group	No. 127

***

## three
Below is Cs2BaSr2 after structural relaxation, with properties calculated at the PBE-GGA level.

a = 12.563 Å, b = 12.563 Å, c = 4.798 Å
α = 90.00°, β = 90.00°, γ = 90.00°
Sites, in units of the cell vectors:
Cs  0.676  0.824  0.500
Sr  0.879  0.621  0.000
Ba  0.500  0.500  0.000
Sr  0.379  0.879  0.000
Ba  0.000  0.000  0.000
Cs  0.324  0.176  0.500
Cs  0.824  0.324  0.500
Sr  0.121  0.379  0.000
Sr  0.621  0.121  0.000
Cs  0.176  0.676  0.500

space group	No. 127

***

Relative energies in kJ/mol of atoms: one 5.1; two 1.2; three 0.0

***

## one
Below is CsBa2Sr after structural relaxation, with properties calculated at the PBE-GGA level.

a = 4.529 Å, b = 4.529 Å, c = 15.731 Å
α = 81.72°, β = 81.72°, γ = 60.00°
Sites, in units of the cell vectors:
Cs  0.500  0.500  0.500
Ba  0.258  0.258  0.227
Sr  0.667  0.667  0.000
Ba  0.076  0.076  0.773

space group	No. 160

***

## two
Below is CsBa2Sr after structural relaxation, with properties calculated at the PBE-GGA level.

a = 4.846 Å, b = 7.454 Å, c = 7.454 Å
α = 90.00°, β = 90.00°, γ = 90.00°
Sites, in units of the cell vectors:
Sr  0.500  0.500  0.500
Ba  0.000  0.000  0.500
Cs  0.500  0.000  0.000
Ba  0.000  0.500  0.000

space group	No. 123

***

## three
Below is CsBa2Sr after structural relaxation, with properties calculated at the PBE-GGA level.

a = 4.528 Å, b = 4.528 Å, c = 13.766 Å
α = 90.00°, β = 90.00°, γ = 90.00°
Sites, in units of the cell vectors:
Sr  0.500  0.500  0.000
Ba  0.000  0.000  0.217
Ba  0.000  0.000  0.783
Cs  0.500  0.500  0.500

space group	No. 123

***

Relative energies in kJ/mol of atoms: one 0.0; two 6.0; three 0.8

***

## one
Below is CsBaSr2 after structural relaxation, with properties calculated at the PBE-GGA level.

a = 11.167 Å, b = 11.167 Å, c = 8.942 Å
α = 51.36°, β = 51.36°, γ = 90.00°
Sites, in units of the cell vectors:
Ba  0.750  0.250  0.500
Cs  0.250  0.750  0.500
Cs  0.500  0.500  0.000
Ba  0.000  0.000  0.000
Sr  0.375  0.378  0.750
Sr  0.875  0.872  0.750
Sr  0.128  0.625  0.250
Sr  0.622  0.125  0.250

space group	No. 122

***

## two
Below is CsBaSr2 after structural relaxation, with properties calculated at the PBE-GGA level.

a = 4.683 Å, b = 7.484 Å, c = 7.484 Å
α = 90.00°, β = 90.00°, γ = 90.00°
Sites, in units of the cell vectors:
Sr  0.000  0.500  0.000
Cs  0.500  0.500  0.500
Ba  0.500  0.000  0.000
Sr  0.000  0.000  0.500

space group	No. 123

***

Relative energies in kJ/mol of atoms: one 17.6; two 0.0

***

## one
Below is CsBaSr2 after structural relaxation, with properties calculated at the PBE-GGA level.

a = 4.461 Å, b = 4.461 Å, c = 15.455 Å
α = 81.70°, β = 81.70°, γ = 60.00°
Sites, in units of the cell vectors:
Ba  0.667  0.667  0.000
Sr  0.078  0.078  0.766
Sr  0.256  0.256  0.233
Cs  0.500  0.500  0.501

space group	No. 160

***

## two
Below is CsBaSr2 after structural relaxation, with properties calculated at the PBE-GGA level.

a = 7.220 Å, b = 7.220 Å, c = 7.220 Å
α = 60.00°, β = 60.00°, γ = 60.00°
Sites, in units of the cell vectors:
Sr  0.750  0.750  0.750
Ba  0.500  0.500  0.500
Cs  0.000  0.000  0.000
Sr  0.250  0.250  0.250

space group	No. 225

***

Relative energies in kJ/mol of atoms: one 0.0; two 7.0

***

## one
Below is CsBaSr after structural relaxation, with properties calculated at the PBE-GGA level.

a = 4.543 Å, b = 4.543 Å, c = 11.766 Å
α = 90.00°, β = 90.00°, γ = 120.00°
Sites, in units of the cell vectors:
Sr  0.667  0.333  0.350
Cs  0.000  0.000  0.004
Ba  0.333  0.667  0.647

space group	No. 156

***

## two
Below is CsBaSr after structural relaxation, with properties calculated at the PBE-GGA level.

a = 4.483 Å, b = 4.483 Å, c = 11.185 Å
α = 101.56°, β = 101.56°, γ = 90.00°
Sites, in units of the cell vectors:
Sr  0.323  0.323  0.646
Ba  0.680  0.680  0.360
Cs  0.997  0.997  0.994

space group	No. 107

***

Relative energies in kJ/mol of atoms: one 0.0; two 1.1

***

## one
Below is Cs2BaTe2 after structural relaxation, with properties calculated at the PBE-GGA level.

a = 9.652 Å, b = 9.652 Å, c = 5.500 Å
α = 90.00°, β = 90.00°, γ = 90.00°
Sites, in units of the cell vectors:
Te  0.180  0.320  0.000
Te  0.320  0.820  0.000
Cs  0.631  0.869  0.500
Te  0.820  0.680  0.000
Ba  0.500  0.500  0.000
Te  0.680  0.180  0.000
Cs  0.369  0.131  0.500
Cs  0.131  0.631  0.500
Cs  0.869  0.369  0.500
Ba  0.000  0.000  0.000

space group	No. 127

***

## two
Below is Cs2BaTe2 after structural relaxation, with properties calculated at the PBE-GGA level.

a = 5.059 Å, b = 5.059 Å, c = 9.880 Å
α = 75.16°, β = 75.16°, γ = 90.00°
Sites, in units of the cell vectors:
Ba  0.000  0.000  0.000
Te  0.604  0.604  0.792
Te  0.396  0.396  0.208
Cs  0.750  0.250  0.500
Cs  0.250  0.750  0.500

space group	No. 139

***

Relative energies in kJ/mol of atoms: one 0.0; two 15.3

***

## one
Below is Cs2Ba2Te after structural relaxation, with properties calculated at the PBE-GGA level.

a = 5.283 Å, b = 5.283 Å, c = 12.965 Å
α = 78.24°, β = 78.24°, γ = 90.00°
Sites, in units of the cell vectors:
Cs  0.573  0.573  0.853
Ba  0.750  0.250  0.500
Cs  0.427  0.427  0.147
Te  0.000  0.000  0.000
Ba  0.250  0.750  0.500

space group	No. 139

***

## two
Below is Cs2Ba2Te after structural relaxation, with properties calculated at the PBE-GGA level.

a = 9.323 Å, b = 9.323 Å, c = 8.290 Å
α = 90.00°, β = 90.00°, γ = 90.00°
Sites, in units of the cell vectors:
Cs  0.827  0.327  0.500
Te  0.000  0.000  0.000
Cs  0.327  0.173  0.500
Ba  0.175  0.325  0.000
Cs  0.173  0.673  0.500
Cs  0.673  0.827  0.500
Ba  0.675  0.175  0.000
Te  0.500  0.500  0.000
Ba  0.825  0.675  0.000
Ba  0.325  0.825  0.000

space group	No. 127

***

Relative energies in kJ/mol of atoms: one 33.8; two 0.0

***

## one
Below is Cs2BaTe after structural relaxation, with properties calculated at the PBE-GGA level.

a = 6.919 Å, b = 6.919 Å, c = 6.919 Å
α = 60.00°, β = 60.00°, γ = 60.00°
Sites, in units of the cell vectors:
Ba  0.500  0.500  0.500
Cs  0.250  0.250  0.250
Te  0.000  0.000  0.000
Cs  0.750  0.750  0.750

space group	No. 225

***

## two
Below is Cs2BaTe after structural relaxation, with properties calculated at the PBE-GGA level.

a = 13.668 Å, b = 13.668 Å, c = 10.240 Å
α = 48.13°, β = 48.13°, γ = 90.00°
Sites, in units of the cell vectors:
Ba  0.000  0.000  0.000
Cs  0.492  0.125  0.250
Cs  0.375  0.508  0.750
Te  0.500  0.500  0.000
Te  0.250  0.750  0.500
Cs  0.875  0.742  0.750
Cs  0.258  0.625  0.250
Ba  0.750  0.250  0.500

space group	No. 122

***

Relative energies in kJ/mol of atoms: one 37.0; two 0.0